# PmNbNi2 | the Alexandria database | GGA-PBE | optimized geometry
data_PmNbNi2
_cell_length_a 4.2645
_cell_length_b 4.2645
_cell_length_c 14.7844
_cell_angle_alpha 90.00
_cell_angle_beta 90.00
_cell_angle_gamma 120.00
_space_group_name_H-M_alt 'R -3 m'
_space_group_IT_number 166
_space_group_name_Hall '-R 3 2"'
loop_
_atom_site_label
_atom_site_type_symbol
_atom_site_fract_x
_atom_site_fract_y
_atom_site_fract_z
Pm1 Pm 0.0000 0.0000 0.0000
Nb1 Nb 0.0000 0.0000 0.5000
Ni1 Ni 0.0000 0.0000 0.1990
# * DOS at the Fermi energy: 7.5 states/eV per cell
# * size of the total moment: 0.00 μB/f.u.
# * energy: -81.347 eV/cell
# * excess energy over the best structure of this formula in the dataset: 0 meV/atom